(1)
Te4PRh: optimized geometry, GGA-PBE.

abc: 8.6530 8.6530 8.6530
angles: 90.00 90.00 90.00
With the nearest neighbours (Å) after each atom.
Space group F-43m (No. 216)
Inequivalent atoms, fractional coordinates:
Te: 0.1250 0.1250 0.1250 (multiplicity 16)  6 Te 3.06
P: 0.2500 0.2500 0.7500 (multiplicity 4)  12 Te 3.59, 4 Rh 3.75
Rh: 0.0000 0.0000 0.5000 (multiplicity 4)  12 Te 3.59, 4 P 3.75

## Properties
**DOS at the Fermi energy**: 36.3 states/eV per cell
**Raw formation energy**: 1169 meV/atom

=====

(2)
Te2PRh: optimized geometry, GGA-PBE.

abc: 3.4314 3.4314 7.8084
angles: 90.00 90.00 90.00
With the nearest neighbours (Å) after each atom.
Space group P4mm (No. 99)
Inequivalent atoms, fractional coordinates:
Te: 0.0000 0.0000 0.0000 (multiplicity 1)  1 P 2.58
Te: 0.5000 0.5000 0.4136 (multiplicity 1)  1 Rh 2.68
P: 0.0000 0.0000 0.6691 (multiplicity 1)  4 Rh 2.52, 1 Te 2.58
Rh: 0.5000 0.5000 0.7566 (multiplicity 1)  4 P 2.52, 1 Te 2.68

## Properties
**DOS at the Fermi energy**: 1.5 states/eV per cell
**Raw formation energy**: 58 meV/atom

=====

(3)
Te3PRh: optimized geometry, GGA-PBE.

abc: 5.1339 5.1339 5.1339
angles: 90.00 90.00 90.00
With the nearest neighbours (Å) after each atom.
Space group Pm-3m (No. 221)
Inequivalent atoms, fractional coordinates:
Te: 0.0000 0.0000 0.5000 (multiplicity 3)  2 P 2.57
P: 0.0000 0.0000 0.0000 (multiplicity 1)  6 Te 2.57
Rh: 0.5000 0.5000 0.5000 (multiplicity 1)  12 Te 3.63

## Properties
**Energy above the most stable polymorph in this dataset**: 246 meV per atom
**DOS at the Fermi energy**: 6.8 states/eV per cell
**Raw formation energy**: 949 meV/atom

=====

(4)
TeP2Rh: optimized geometry, GGA-PBE.

abc: 3.3773 3.6621 13.1379
angles: 90.00 90.00 90.00
With the nearest neighbours (Å) after each atom.
Space group Imm2 (No. 44)
Inequivalent atoms, fractional coordinates:
Te: 0.0000 0.0000 0.0000 (multiplicity 2)  2 Rh 2.74, 2 P 2.98
P: 0.0000 0.0000 0.2972 (multiplicity 2)  2 P 2.22
P: 0.0000 0.5000 0.6872 (multiplicity 2)  2 P 2.22
Rh: 0.0000 0.5000 0.1555 (multiplicity 2)  6 P 2.53-2.61, 2 Te 2.74

## Properties
**DOS at the Fermi energy**: 4.0 states/eV per cell
**Raw formation energy**: 7 meV/atom

=====

(5)
Te2PRh: optimized geometry, GGA-PBE.

abc: 3.9653 3.9653 23.7888
angles: 90.00 90.00 120.00
With the nearest neighbours (Å) after each atom.
Space group R-3m (No. 166, hexagonal axes)
Inequivalent atoms, fractional coordinates:
Te: 0.0000 0.0000 0.1092 (multiplicity 6)  1 P 2.60, 3 Rh 2.67
P: 0.0000 0.0000 0.0000 (multiplicity 3)  2 Te 2.60
Rh: 0.0000 0.0000 0.5000 (multiplicity 3)  6 Te 2.67

## Properties
**DOS at the Fermi energy**: 9.2 states/eV per cell
**Raw formation energy**: 217 meV/atom

=====

(6)
TeP2Rh: optimized geometry, GGA-PBE.

abc: 4.5692 4.5692 6.5122
angles: 90.00 90.00 90.00
With the nearest neighbours (Å) after each atom.
Space group I-4m2 (No. 119)
Inequivalent atoms, fractional coordinates:
Te: 0.0000 0.0000 0.0000 (multiplicity 2)  4 Rh 2.81, 4 P 2.81
P: 0.0000 0.0000 0.5000 (multiplicity 2)  4 Rh 2.81, 4 P 2.81
P: 0.0000 0.5000 0.7500 (multiplicity 2)  4 Te 2.81, 4 P 2.81
Rh: 0.0000 0.5000 0.2500 (multiplicity 2)  4 Te 2.81, 4 P 2.81

## Properties
**DOS at the Fermi energy**: 4.2 states/eV per cell
**Raw formation energy**: 464 meV/atom

=====

(7)
Te2PRh: optimized geometry, GGA-PBE.

abc: 3.9336 3.9336 11.0013
angles: 90.00 90.00 90.00
With the nearest neighbours (Å) after each atom.
Space group I-4m2 (No. 119)
Inequivalent atoms, fractional coordinates:
Te: 0.0000 0.0000 0.0000 (multiplicity 2)  4 Rh 2.78
Te: 0.0000 0.5000 0.2500 (multiplicity 2)  4 P 2.78
P: 0.0000 0.5000 0.7500 (multiplicity 2)  4 Te 2.78
Rh: 0.0000 0.0000 0.5000 (multiplicity 2)  4 Te 2.78

## Properties
**DOS at the Fermi energy**: 6.7 states/eV per cell
**Raw formation energy**: 547 meV/atom

=====

(8)
Te2PRh: optimized geometry, GGA-PBE.

abc: 5.6569 8.0094 3.8621
angles: 90.00 90.00 90.00
With the nearest neighbours (Å) after each atom.
Space group Cmmm (No. 65)
Inequivalent atoms, fractional coordinates:
Te: 0.0000 0.2280 0.0000 (multiplicity 4)  2 Rh 2.66, 2 Te 2.85, 2 P 2.91
P: 0.0000 0.5000 0.5000 (multiplicity 2)  2 Rh 2.83, 4 Te 2.91
Rh: 0.0000 0.0000 0.5000 (multiplicity 2)  4 Te 2.66, 2 P 2.83

## Properties
**DOS at the Fermi energy**: 4.6 states/eV per cell
**Raw formation energy**: 126 meV/atom

=====

(9)
TeP2Rh: optimized geometry, GGA-PBE.

abc: 7.0669 3.2454 7.9288
angles: 90.00 109.64 90.00
With the nearest neighbours (Å) after each atom.
Space group C2/m (No. 12)
Inequivalent atoms, fractional coordinates:
Te: 0.0000 0.0000 0.0000 (multiplicity 2)  2 P 2.69
P: 0.1452 0.0000 0.3596 (multiplicity 4)  3 Rh 2.38-2.39
Rh: 0.0000 0.5000 0.5000 (multiplicity 2)  6 P 2.38-2.39

## Properties
**DOS at the Fermi energy**: 6.1 states/eV per cell
**Raw formation energy**: -82 meV/atom

=====

(10)
Te2PRh: optimized geometry, GGA-PBE.

abc: 6.4238 3.3209 9.2290
angles: 90.00 93.71 90.00
With the nearest neighbours (Å) after each atom.
Space group Cm (No. 8)
Inequivalent atoms, fractional coordinates:
Te: 0.0000 0.0000 0.0000 (multiplicity 2)  1 P 2.53
Te: 0.1935 0.5000 0.6021 (multiplicity 2)  3 Rh 2.78-2.84
P: 0.0317 0.0000 0.2743 (multiplicity 2)  3 Rh 2.28-2.33, 1 Te 2.53
Rh: 0.3651 0.0000 0.3902 (multiplicity 2)  3 P 2.28-2.33

## Properties
**DOS at the Fermi energy**: 2.4 states/eV per cell
**Raw formation energy**: -211 meV/atom

=====

(11)
Te2PRh: optimized geometry, GGA-PBE.

abc: 3.0334 3.0334 10.2123
angles: 90.00 90.00 90.00
With the nearest neighbours (Å) after each atom.
Space group P4mm (No. 99)
Inequivalent atoms, fractional coordinates:
Te: 0.0000 0.0000 0.0000 (multiplicity 1)  4 Te 3.03, 4 Rh 3.10
Te: 0.5000 0.5000 0.3682 (multiplicity 1)  4 Te 3.03
P: 0.0000 0.0000 0.6641 (multiplicity 1)  4 Rh 2.46
Rh: 0.5000 0.5000 0.7810 (multiplicity 1)  4 P 2.46

## Properties
**DOS at the Fermi energy**: 4.0 states/eV per cell
**Raw formation energy**: 25 meV/atom

=====

(12)
Te3PRh: optimized geometry, GGA-PBE.

abc: 5.1630 5.1630 5.1630
angles: 90.00 90.00 90.00
With the nearest neighbours (Å) after each atom.
Space group Pm-3m (No. 221)
Inequivalent atoms, fractional coordinates:
Te: 0.0000 0.0000 0.5000 (multiplicity 3)  2 Rh 2.58
P: 0.5000 0.5000 0.5000 (multiplicity 1)  12 Te 3.65
Rh: 0.0000 0.0000 0.0000 (multiplicity 1)  6 Te 2.58

## Properties
**Energy above the most stable polymorph in this dataset**: 0 meV per atom
**DOS at the Fermi energy**: 7.2 states/eV per cell
**Raw formation energy**: 703 meV/atom

=====

(13)
TePRh3: optimized geometry, GGA-PBE.

abc: 4.8079 4.8079 4.8079
angles: 90.00 90.00 90.00
With the nearest neighbours (Å) after each atom.
Space group Pm-3m (No. 221)
Inequivalent atoms, fractional coordinates:
Te: 0.0000 0.0000 0.0000 (multiplicity 1)  6 Rh 2.40
P: 0.5000 0.5000 0.5000 (multiplicity 1)  12 Rh 3.40
Rh: 0.0000 0.0000 0.5000 (multiplicity 3)  2 Te 2.40

## Properties
**Energy above the most stable polymorph in this dataset**: 1163 meV per atom
**DOS at the Fermi energy**: 5.0 states/eV per cell
**Raw formation energy**: 1151 meV/atom

=====

(14)
TeP2Rh: optimized geometry, GGA-PBE.

abc: 7.1670 3.6333 6.1828
angles: 90.00 101.27 90.00
With the nearest neighbours (Å) after each atom.
Space group Cm (No. 8)
Inequivalent atoms, fractional coordinates:
Te: 0.0000 0.0000 0.0000 (multiplicity 2)  3 Rh 2.66-2.96, 2 P 2.70
P: 0.0325 0.5000 0.5804 (multiplicity 2)  1 P 2.14, 2 Rh 2.36
P: 0.1660 0.5000 0.2989 (multiplicity 2)  1 P 2.14
Rh: 0.2332 0.0000 0.7134 (multiplicity 2)  3 P 2.36-2.44

## Properties
**DOS at the Fermi energy**: 2.7 states/eV per cell
**Raw formation energy**: -56 meV/atom

=====

(15)
TePRh2: optimized geometry, GGA-PBE.

abc: 4.4196 4.4196 3.3319
angles: 90.00 90.00 90.00
With the nearest neighbours (Å) after each atom.
Space group P4/mmm (No. 123)
Inequivalent atoms, fractional coordinates:
Te: 0.0000 0.0000 0.0000 (multiplicity 1)  8 Rh 2.77
P: 0.5000 0.5000 0.0000 (multiplicity 1)  8 Rh 2.77
Rh: 0.0000 0.5000 0.5000 (multiplicity 2)  4 Te 2.77, 4 P 2.77

## Properties
**Energy above the most stable polymorph in this dataset**: 490 meV per atom
**DOS at the Fermi energy**: 4.1 states/eV per cell
**Raw formation energy**: 53 meV/atom

=====

(16)
TeP2Rh: optimized geometry, GGA-PBE.

abc: 3.2322 3.2322 7.1889
angles: 90.00 90.00 90.00
With the nearest neighbours (Å) after each atom.
Space group P4mm (No. 99)
Inequivalent atoms, fractional coordinates:
Te: 0.0000 0.0000 0.0000 (multiplicity 1)  4 Rh 2.79
P: 0.0000 0.0000 0.5464 (multiplicity 1)  4 P 2.42
P: 0.5000 0.5000 0.4358 (multiplicity 1)  4 P 2.42, 1 Rh 2.45
Rh: 0.5000 0.5000 0.7769 (multiplicity 1)  1 P 2.45

## Properties
**DOS at the Fermi energy**: 2.3 states/eV per cell
**Raw formation energy**: 119 meV/atom

=====

(17)
TePRh2: optimized geometry, GGA-PBE.

abc: 3.9837 3.9839 5.5268
angles: 90.00 90.10 90.00
With the nearest neighbours (Å) after each atom.
Space group Pm (No. 6)
Inequivalent atoms, fractional coordinates:
Te: 0.0000 0.0000 0.0000 (multiplicity 1)  4 Rh 2.62
P: 0.4989 0.5000 0.4808 (multiplicity 1)  4 Rh 2.31
Rh: 0.4993 0.0000 0.6929 (multiplicity 1)  2 P 2.31
Rh: 0.9994 0.5000 0.6930 (multiplicity 1)  2 P 2.31

## Properties
**Energy above the most stable polymorph in this dataset**: 0 meV per atom
**DOS at the Fermi energy**: 2.0 states/eV per cell
**Raw formation energy**: -436 meV/atom

=====

(18)
TeP2Rh: optimized geometry, GGA-PBE.

abc: 2.9413 4.9842 10.1321
angles: 90.00 90.00 90.00
With the nearest neighbours (Å) after each atom.
Space group Immm (No. 71)
Inequivalent atoms, fractional coordinates:
Te: 0.0000 0.0000 0.0000 (multiplicity 2)  4 Rh 2.89, 2 Te 2.94, 4 P 3.17
P: 0.0000 0.5000 0.1936 (multiplicity 4)  2 Rh 2.45
Rh: 0.0000 0.0000 0.5000 (multiplicity 2)  4 P 2.45

## Properties
**DOS at the Fermi energy**: 3.1 states/eV per cell
**Raw formation energy**: 273 meV/atom

=====

(19)
TePRh: optimized geometry, GGA-PBE.

abc: 6.0934 6.1963 12.2507
angles: 90.00 90.00 90.00
With the nearest neighbours (Å) after each atom.
Space group Pbca (No. 61)
Inequivalent atoms, fractional coordinates:
Te: 0.1165 0.0733 0.1748 (multiplicity 8)  1 P 2.55, 3 Rh 2.66-2.72
P: 0.1283 0.6758 0.9370 (multiplicity 8)  3 Rh 2.36-2.40, 1 Te 2.55
Rh: 0.0216 0.1781 0.3853 (multiplicity 8)  3 P 2.36-2.40

## Properties
**Raw formation energy**: -534 meV/atom

=====

(20)
TePRh: optimized geometry, GGA-PBE.

abc: 3.0348 3.0348 12.5477
angles: 90.00 90.00 90.00
With the nearest neighbours (Å) after each atom.
Space group I4mm (No. 107)
Inequivalent atoms, fractional coordinates:
Te: 0.0000 0.0000 0.0000 (multiplicity 2)  4 Te 3.03, 4 Rh 3.10
P: 0.0000 0.0000 0.2733 (multiplicity 2)  4 Rh 2.45
Rh: 0.0000 0.0000 0.6785 (multiplicity 2)  4 P 2.45

## Properties
**DOS at the Fermi energy**: 3.8 states/eV per cell
**Raw formation energy**: -42 meV/atom

=====

(21)
Te2PRh: optimized geometry, GGA-PBE.

abc: 3.4331 4.5259 5.2729
angles: 90.00 90.00 90.00
With the nearest neighbours (Å) after each atom.
Space group Pmmm (No. 47)
Inequivalent atoms, fractional coordinates:
Te: 0.0000 0.0000 0.0000 (multiplicity 1)  4 Rh 2.84, 4 Te 3.15
Te: 0.5000 0.0000 0.5000 (multiplicity 1)  4 P 2.84, 4 Te 3.15
P: 0.0000 0.5000 0.5000 (multiplicity 1)  4 Te 2.84, 4 Rh 3.15
Rh: 0.5000 0.5000 0.0000 (multiplicity 1)  4 Te 2.84, 4 P 3.15

## Properties
**DOS at the Fermi energy**: 2.5 states/eV per cell
**Raw formation energy**: 521 meV/atom

=====

(22)
Te2PRh: optimized geometry, GGA-PBE.

abc: 6.0313 6.0313 12.2884
angles: 90.00 90.00 90.00
With the nearest neighbours (Å) after each atom.
Space group I-42d (No. 122)
Inequivalent atoms, fractional coordinates:
Te: 0.2266 0.2500 0.1250 (multiplicity 8)  2 Rh 2.55, 2 P 2.71
P: 0.0000 0.0000 0.5000 (multiplicity 4)  4 Te 2.71
Rh: 0.0000 0.0000 0.0000 (multiplicity 4)  4 Te 2.55

## Properties
**DOS at the Fermi energy**: 6.2 states/eV per cell
**Raw formation energy**: 185 meV/atom

=====

(23)
TeP2Rh: optimized geometry, GGA-PBE.

abc: 4.1567 3.7701 5.3120
angles: 90.00 97.41 90.00
With the nearest neighbours (Å) after each atom.
Space group Pm (No. 6)
Inequivalent atoms, fractional coordinates:
Te: 0.0000 0.0000 0.0000 (multiplicity 1)  1 P 2.58, 2 Rh 2.69
P: 0.3392 0.5000 0.5430 (multiplicity 1)  2 P 2.32, 2 Rh 2.32-2.47
P: 0.6664 0.0000 0.5556 (multiplicity 1)  2 P 2.32, 2 Rh 2.41, 1 Te 2.58
Rh: 0.8233 0.5000 0.3163 (multiplicity 1)  4 P 2.32-2.47

## Properties
**DOS at the Fermi energy**: 1.7 states/eV per cell
**Raw formation energy**: -64 meV/atom

=====

(24)
Te2PRh: optimized geometry, GGA-PBE.

abc: 3.2916 4.8075 11.6616
angles: 90.00 90.00 90.00
With the nearest neighbours (Å) after each atom.
Space group Imm2 (No. 44)
Inequivalent atoms, fractional coordinates:
Te: 0.0000 0.0000 0.0000 (multiplicity 2)  4 Rh 2.92, 2 P 2.97
Te: 0.0000 0.5000 0.1958 (multiplicity 2)  2 Rh 2.91
P: 0.0000 0.5000 0.8504 (multiplicity 2)  2 Rh 2.32
Rh: 0.0000 0.0000 0.4900 (multiplicity 2)  2 P 2.32

## Properties
**DOS at the Fermi energy**: 5.6 states/eV per cell
**Raw formation energy**: 87 meV/atom

=====

(25)
TePRh2: optimized geometry, GGA-PBE.

abc: 5.0728 5.0728 12.8910
angles: 90.00 90.00 90.00
With the nearest neighbours (Å) after each atom.
Space group I-42d (No. 122)
Inequivalent atoms, fractional coordinates:
Te: 0.0000 0.0000 0.0000 (multiplicity 4)  4 Rh 2.62
P: 0.0000 0.0000 0.5000 (multiplicity 4)  4 Rh 2.24
Rh: 0.1796 0.2500 0.6250 (multiplicity 8)  2 P 2.24

## Properties
**Energy above the most stable polymorph in this dataset**: 122 meV per atom
**DOS at the Fermi energy**: 8.4 states/eV per cell
**Raw formation energy**: -314 meV/atom

=====

(26)
TePRh: optimized geometry, GGA-PBE.

abc: 6.3314 6.0946 6.2634
angles: 90.00 103.94 90.00
With the nearest neighbours (Å) after each atom.
Space group P2_1/c (No. 14)
Inequivalent atoms, fractional coordinates:
Te: 0.1574 0.1225 0.3424 (multiplicity 4)  1 P 2.57, 3 Rh 2.65-2.74
P: 0.3698 0.6267 0.6361 (multiplicity 4)  3 Rh 2.36-2.39, 1 Te 2.57
Rh: 0.2771 0.5233 0.2593 (multiplicity 4)  3 P 2.36-2.39

## Properties
**DOS at the Fermi energy**: 0.1 states/eV per cell
**Raw formation energy**: -516 meV/atom

=====

(27)
TePRh2: optimized geometry, GGA-PBE.

abc: 3.2058 3.3299 13.1454
angles: 90.00 90.00 90.00
With the nearest neighbours (Å) after each atom.
Space group Imm2 (No. 44)
Inequivalent atoms, fractional coordinates:
Te: 0.0000 0.0000 0.0000 (multiplicity 2)  6 Rh 2.84-3.00
P: 0.0000 0.5000 0.2491 (multiplicity 2)  6 Rh 2.34-2.43
Rh: 0.0000 0.0000 0.3743 (multiplicity 2)  2 P 2.34
Rh: 0.0000 0.5000 0.6928 (multiplicity 2)  4 P 2.43

## Properties
**Energy above the most stable polymorph in this dataset**: 121 meV per atom
**DOS at the Fermi energy**: 3.8 states/eV per cell
**Raw formation energy**: -315 meV/atom